Entry from Alexandria: an optimized crystal structure of CaCdIn2Rh (PBE).

- ΔE_f (eV per atom) = -0.226
- energy relative to the lowest polymorph listed for this composition (meV per atom) = 16
- space group = P4/mmm, No. 123
- raw total energy (eV/atom) = -3.375

Cell: 5.1091 5.1091 5.2235 Å, 90.00 90.00 90.00°
Atoms (fractional coordinates):
Ca: 0.5000 0.5000 0.5000
Cd: 0.0000 0.0000 0.5000
Rh: 0.0000 0.0000 0.0000
In: 0.0000 0.5000 0.0000
In: 0.5000 0.0000 0.0000